A plane-wave DFT calculation with PBE was carried out for AlZn2Cl after structural relaxation.

Space-group type: Pmmm, No. 47
Energy relative to the elements, uncorrected in meV/atom: 12
Offset from the most stable computed form in meV/atom: 157.1
Energy in eV for the cell shown: -8.1

abc: 2.946 4.742 5.337
angles: 90.00 90.00 90.00
Positions (direct):
Zn1 0.000 0.000 0.000
Zn2 0.500 0.500 0.000
Al1 0.500 0.000 0.500
Cl1 0.000 0.500 0.500